(1)
RbIn6Bi | PBE | relaxed

```
8
Lattice="-4.403 -0.174 -3.329 -1.094 -5.135 1.715 -4.995 3.215 6.440" Properties=species:S:1:pos:R:3 pbc="T T T"
In -2.125 -1.551 2.892
In -3.964 -0.368 5.263
In -3.587 -2.115 0.273
In -6.906 0.021 4.553
In -3.780 0.929 0.370
In -5.619 2.112 2.741
Bi -2.498 1.607 3.220
Rb 0.000 0.000 0.000
```

## Properties
Total energy = -2.71 eV/atom
Magnetic moment = 0.0 μB per formula unit
Energy of formation = -49 meV per atom
Space group = No. 123

(2)
RbInBi2 | PBE | relaxed

```
8
Lattice="-3.849 -3.677 -2.590 2.874 -4.633 2.307 -6.578 -3.728 8.301" Properties=species:S:1:pos:R:3 pbc="T T T"
Rb -2.096 -6.258 5.234
Rb -0.487 -4.155 -0.141
Bi -5.684 -5.292 5.811
Bi -8.276 -6.054 3.980
Bi -4.206 -4.301 0.398
Bi -3.663 -7.472 0.950
In -5.457 -5.780 2.785
In 0.000 0.000 0.000
```

## Properties
Total energy = -2.92 eV/atom
Magnetic moment = 0.0 μB per formula unit
Energy of formation = -52 meV per atom
Space group = No. 122

(3)
RbIn2Bi | PBE | relaxed

```
4
Lattice="5.195 0.000 0.000 0.000 5.068 0.000 0.000 0.000 5.068" Properties=species:S:1:pos:R:3 pbc="T T T"
In 0.000 2.534 0.000
In 0.000 0.000 2.534
Rb 2.597 2.534 2.534
Bi 2.597 0.000 0.000
```

## Properties
Total energy = -2.57 eV/atom
Magnetic moment = 0.0 μB per formula unit
Energy of formation = 13 meV per atom
Space group = No. 123

(4)
Rb2In6Bi3 | PBE | relaxed

```
11
Lattice="-2.133 0.324 -4.159 8.689 -1.112 -4.544 -5.471 -7.915 2.189" Properties=species:S:1:pos:R:3 pbc="T T T"
In -2.669 -2.156 -1.438
In 7.114 -0.910 -3.720
In -4.480 -6.481 1.793
In 1.478 -0.163 -3.410
In 1.209 -6.221 -3.744
In 0.583 -1.636 -0.427
Bi 4.297 -0.524 -4.884
Bi 0.165 -3.293 -2.981
Bi -4.444 -4.724 -0.728
Rb 3.969 -3.380 -2.299
Rb -0.751 -5.647 -0.055
```

## Properties
Total energy = -2.83 eV/atom
Magnetic moment = 0.0 μB per formula unit
Energy of formation = -97 meV per atom
Space group = No. 189

(5)
RbIn2Bi3 | PBE | relaxed

```
12
Lattice="4.571 0.000 1.259 1.200 8.926 4.574 -0.318 -0.384 10.087" Properties=species:S:1:pos:R:3 pbc="T T T"
Bi 3.060 0.593 6.749
Bi 3.748 4.814 4.250
Bi 0.725 6.013 6.299
Bi 2.393 7.950 9.170
Bi 4.728 2.529 9.621
Bi 1.705 3.728 11.670
Rb 4.027 1.262 3.237
Rb 1.426 7.281 12.683
In 3.267 7.589 5.996
In 1.025 2.920 5.209
In 2.186 0.953 9.924
In 4.428 5.622 10.710
```

## Properties
Total energy = -3.09 eV/atom
Magnetic moment = 0.0 μB per formula unit
Energy of formation = -74 meV per atom
Space group = No. 71
Distance to the lowest polymorph of the same formula = 0.039 eV/atom

(6)
RbIn12Bi6 | PBE | relaxed

```
19
Lattice="-3.073 6.601 -5.578 -4.360 -7.706 -2.395 -2.884 2.137 8.441" Properties=species:S:1:pos:R:3 pbc="T T T"
In -4.659 6.074 -1.002
In -5.085 -1.218 5.680
In -5.658 -5.042 1.470
In -3.159 2.181 0.737
In -3.454 -1.096 1.466
In -3.497 -0.074 -1.745
In -5.232 2.250 -5.212
In -7.158 -1.149 -0.269
In -6.820 1.105 2.213
In -4.585 4.340 4.443
In -5.732 -3.308 -3.976
In -6.863 2.128 -0.998
Bi -6.071 -2.287 2.905
Bi -4.246 3.319 -2.437
Bi -5.480 4.292 1.441
Bi -4.837 -3.261 -0.973
Bi -4.159 1.266 4.010
Bi -6.158 -0.234 -3.542
Rb 0.000 0.000 0.000
```

## Properties
Total energy = -2.98 eV/atom
Magnetic moment = 0.0 μB per formula unit
Energy of formation = 30 meV per atom
Space group = No. 166

(7)
RbInBi2 | PBE | relaxed

```
4
Lattice="-4.117 -0.891 -0.983 1.062 -4.134 -0.699 -1.446 -1.649 7.553" Properties=species:S:1:pos:R:3 pbc="T T T"
Bi -1.173 -1.337 6.126
Bi -0.273 -0.311 1.426
In -1.527 -2.513 -0.841
Rb -2.250 -3.337 2.935
```

## Properties
Total energy = -2.96 eV/atom
Magnetic moment = 0.0 μB per formula unit
Energy of formation = -91 meV per atom
Space group = No. 123

(8)
Rb3In2Bi2 | PBE | relaxed

```
7
Lattice="5.808 0.000 -0.995 -0.187 4.693 -1.094 -0.979 0.219 11.738" Properties=species:S:1:pos:R:3 pbc="T T T"
In 3.041 2.669 0.301
In 1.601 2.243 9.348
Rb 4.060 1.620 6.254
Rb 0.581 3.292 3.395
Rb 0.000 0.000 0.000
Bi 1.229 4.199 7.177
Bi 3.413 0.712 2.472
```

## Properties
Total energy = -2.60 eV/atom
Magnetic moment = 0.0 μB per formula unit
Energy of formation = -292 meV per atom
Space group = No. 71